[1]
VASP calculation (GGA-PBE) on a relaxed KNiH6Pd crystal.

Unit cell a=4.7100 b=4.7100 c=5.4507 alpha=90.00 beta=90.00 gamma=120.00
Space group P312 (No. 149)
One atom of each set of equivalent atoms:
K: 0.0000 0.0000 0.0000 x1
Ni: 0.3333 0.6667 0.5000 x1
H: 0.0200 0.3859 0.3506 x6
Pd: 0.6667 0.3333 0.5000 x1

Output
- calculated volume (Å³/atom) = 11.64
- M_tot (μB per formula unit) = 0.00

=====

[2]
VASP calculation (GGA-PBE) on a relaxed KNiH8Pt2 crystal.

Unit cell a=4.6763 b=4.6763 c=19.7541 alpha=90.00 beta=90.00 gamma=120.00
Space group R-3 (No. 148, hexagonal axes)
One atom of each set of equivalent atoms:
K: 0.0000 0.0000 0.0000 x3
Ni: 0.0000 0.0000 0.5000 x3
H: 0.0000 0.0000 0.2870 x6
H: 0.0170 0.7080 0.5483 x18
Pt: 0.0000 0.0000 0.2053 x6

Output
- calculated volume (Å³/atom) = 10.39
- M_tot (μB per formula unit) = 0.00

=====

[3]
VASP calculation (GGA-PBE) on a relaxed KNiH6Pt crystal.

Unit cell a=4.7019 b=4.7019 c=5.5291 alpha=90.00 beta=90.00 gamma=120.00
Space group P312 (No. 149)
One atom of each set of equivalent atoms:
K: 0.0000 0.0000 0.0000 x1
Ni: 0.6667 0.3333 0.5000 x1
H: 0.3669 0.0040 0.3525 x6
Pt: 0.3333 0.6667 0.5000 x1

Output
- calculated volume (Å³/atom) = 11.76
- M_tot (μB per formula unit) = 0.00

=====

[4]
VASP calculation (GGA-PBE) on a relaxed KRb2NiH4 crystal.

Unit cell a=5.5972 b=13.3092 c=24.6338 alpha=90.00 beta=90.00 gamma=90.00
Space group Fddd (No. 70, origin choice 2)
One atom of each set of equivalent atoms:
K: 0.1250 0.1250 0.1250 x8
Rb: 0.1250 0.1250 0.3019 x16
Ni: 0.1250 0.1250 0.6250 x8
H: 0.1090 0.0444 0.5805 x32

Output
- calculated volume (Å³/atom) = 28.67
- M_tot (μB per formula unit) = 0.00

=====

[5]
VASP calculation (GGA-PBE) on a relaxed K2Rb2NiH4 crystal.

Unit cell a=7.8435 b=7.8435 c=9.1009 alpha=90.00 beta=90.00 gamma=90.00
Space group I4/mmm (No. 139)
One atom of each set of equivalent atoms:
K: 0.0000 0.0000 0.2022 x4
Rb: 0.0000 0.5000 0.2500 x4
Ni: 0.0000 0.0000 0.5000 x2
H: 0.1398 0.1398 0.5000 x8

Output
- calculated volume (Å³/atom) = 31.10
- M_tot (μB per formula unit) = 0.00

=====

[6]
VASP calculation (GGA-PBE) on a relaxed KRb2NiH6 crystal.

Unit cell a=6.0163 b=6.0163 c=6.7706 alpha=90.00 beta=90.00 gamma=120.00
Space group P-3m1 (No. 164)
One atom of each set of equivalent atoms:
K: 0.0000 0.0000 0.0000 x1
Rb: 0.3333 0.6667 0.3575 x2
Ni: 0.0000 0.0000 0.5000 x1
H: 0.1197 0.2395 0.6327 x6

Output
- calculated volume (Å³/atom) = 21.22
- M_tot (μB per formula unit) = 0.91

=====

[7]
VASP calculation (GGA-PBE) on a relaxed KRbNiH6 crystal.

Unit cell a=5.1984 b=5.5052 c=5.5103 alpha=60.12 beta=89.63 gamma=89.79
Space group P1 (No. 1)
One atom of each set of equivalent atoms:
K: 0.0000 0.0000 0.0000 x1
Rb: 0.5158 0.6665 0.6649 x1
Ni: 0.2011 0.3333 0.3327 x1
H: 0.0337 0.0724 0.4637 x1
H: 0.0340 0.4636 0.0727 x1
H: 0.0335 0.4642 0.4640 x1
H: 0.3722 0.2044 0.2035 x1
H: 0.3716 0.2051 0.5885 x1
H: 0.3719 0.5899 0.2039 x1

Output
- calculated volume (Å³/atom) = 15.19
- M_tot (μB per formula unit) = 0.14

=====

[8]
VASP calculation (GGA-PBE) on a relaxed KRbNiH4 crystal.

Unit cell a=5.4452 b=13.4459 c=5.4179 alpha=90.00 beta=90.00 gamma=90.00
Space group Cmcm (No. 63)
One atom of each set of equivalent atoms:
K: 0.0000 0.1198 0.2500 x4
Rb: 0.0000 0.3969 0.2500 x4
Ni: 0.0000 0.2493 0.7500 x4
H: 0.0000 0.1305 0.7500 x4
H: 0.0000 0.3673 0.7500 x4
H: 0.2500 0.2500 0.0000 x8

Output
- calculated volume (Å³/atom) = 14.17
- M_tot (μB per formula unit) = 0.00

=====

[9]
VASP calculation (GGA-PBE) on a relaxed KNiH6Rh crystal.

Unit cell a=4.6237 b=4.6237 c=5.5282 alpha=90.00 beta=90.00 gamma=120.00
Space group P312 (No. 149)
One atom of each set of equivalent atoms:
K: 0.0000 0.0000 0.0000 x1
Ni: 0.3333 0.6667 0.5000 x1
H: 0.0118 0.3818 0.6545 x6
Rh: 0.6667 0.3333 0.5000 x1

Output
- calculated volume (Å³/atom) = 11.37
- M_tot (μB per formula unit) = 0.00

=====

[10]
VASP calculation (GGA-PBE) on a relaxed K2NiHS2 crystal.

Unit cell a=9.4448 b=11.6193 c=5.7128 alpha=90.00 beta=90.00 gamma=90.00
Space group Ibam (No. 72)
One atom of each set of equivalent atoms:
K: 0.1748 0.1193 0.0000 x8
Ni: 0.0000 0.5000 0.2500 x4
H: 0.0000 0.0000 0.2500 x4
S: 0.1208 0.3966 0.0000 x8

Output
- calculated volume (Å³/atom) = 26.12
- M_tot (μB per formula unit) = 0.19

=====

[11]
VASP calculation (GGA-PBE) on a relaxed K2ScNi3H12 crystal.

Unit cell a=6.4975 b=6.4975 c=13.7020 alpha=90.00 beta=90.00 gamma=120.00
Space group R-3m (No. 166, hexagonal axes)
One atom of each set of equivalent atoms:
K: 0.0000 0.0000 0.1120 x6
Sc: 0.0000 0.0000 0.5000 x3
Ni: 0.0000 0.5000 0.0000 x9
H: 0.0009 0.5005 0.8879 x18
H: 0.0996 0.5498 0.3274 x18

Output
- calculated volume (Å³/atom) = 9.28
- M_tot (μB per formula unit) = 0.00

=====

[12]
VASP calculation (GGA-PBE) on a relaxed KNiHSe2 crystal.

Unit cell a=4.4698 b=4.4698 c=4.4169 alpha=90.00 beta=90.00 gamma=90.00
Space group P4/mmm (No. 123)
One atom of each set of equivalent atoms:
K: 0.0000 0.0000 0.0000 x1
Ni: 0.5000 0.5000 0.0000 x1
H: 0.0000 0.0000 0.5000 x1
Se: 0.0000 0.5000 0.5000 x2

Output
- calculated volume (Å³/atom) = 17.65
- M_tot (μB per formula unit) = 0.71

=====

| no. | energy (eV/atom) |
| --- | --- |
| 1 | -3.658 |
| 2 | -3.867 |
| 3 | -3.815 |
| 4 | -2.759 |
| 5 | -2.511 |
| 6 | -3.039 |
| 7 | -3.270 |
| 8 | -3.124 |
| 9 | -3.891 |
| 10 | -3.687 |
| 11 | -3.894 |
| 12 | -2.956 |